The following is a DFT calculation (PBE+U) of a geometry-optimized PuPaV2O8 structure.

Lattice parameters (Å, degrees): 5.181 5.181 6.593 113.14 113.14 90.00
Each line ends with the local moment (μB).
Fractional positions:
Pu: 0.750 0.250 0.500  4.26
Pa: 0.000 0.000 0.000  0.14
V: 0.500 0.500 0.000  1.79
V: 0.250 0.750 0.500  1.10
O: 0.773 0.857 0.174  -0.06
O: 0.401 0.318 0.174  -0.06
O: 0.586 0.659 0.678  -0.06
O: 0.092 0.019 0.678  -0.06
O: 0.981 0.414 0.322  -0.06
O: 0.341 0.908 0.322  -0.06
O: 0.143 0.599 0.826  -0.06
O: 0.682 0.227 0.826  -0.06

Properties
E_tot: -110.37 eV per cell
space group: I-4, No. 82
N(E_F): 0.869 states/eV per atom
calculated density: 7.96 Mg/m³